Record 1
A relaxed NpP2IO8 crystal. Source: Alexandria via LeMat-Bulk, functional GGA-PBE.

CIF file:
```
data_NpP2IO8
_chemical_formula_sum 'Np1 P2 I1 O8'
_space_group_name_H-M_alt 'P 1'
_space_group_IT_number 1
_space_group_name_Hall 'P 1'
_cell_length_a 5.595
_cell_length_b 5.595
_cell_length_c 9.405
_cell_angle_alpha 104.33
_cell_angle_beta 104.33
_cell_angle_gamma 60.16
loop_
_atom_site_label
_atom_site_type_symbol
_atom_site_fract_x
_atom_site_fract_y
_atom_site_fract_z
O1 O 0.225 0.225 0.637
O2 O 0.845 0.397 0.142
O3 O 0.839 0.839 0.117
O4 O 0.603 0.155 0.858
O5 O 0.775 0.775 0.363
O6 O 0.397 0.845 0.142
O7 O 0.161 0.161 0.883
O8 O 0.155 0.603 0.858
P1 P 0.717 0.717 0.194
P2 P 0.283 0.283 0.806
Np1 Np 0.000 0.000 0.000
I1 I 0.000 0.000 0.500
```

Results
* final energy: -90.46 eV/cell
* total magnetic moment: 1.95 μB/f.u.
* SG: No. 12

Record 2
A relaxed RbNpI2O8 crystal. Source: Alexandria via LeMat-Bulk, functional GGA-PBE.

CIF file:
```
data_RbNpI2O8
_chemical_formula_sum 'Rb1 Np1 I2 O8'
_space_group_name_H-M_alt 'P 1'
_space_group_IT_number 1
_space_group_name_Hall 'P 1'
_cell_length_a 6.474
_cell_length_b 6.474
_cell_length_c 7.792
_cell_angle_alpha 90.00
_cell_angle_beta 90.00
_cell_angle_gamma 120.00
loop_
_atom_site_label
_atom_site_type_symbol
_atom_site_fract_x
_atom_site_fract_y
_atom_site_fract_z
O1 O 0.847 0.693 0.162
O2 O 0.153 0.307 0.838
O3 O 0.847 0.153 0.162
O4 O 0.693 0.847 0.838
O5 O 0.307 0.153 0.162
O6 O 0.153 0.847 0.838
O7 O 0.333 0.667 0.597
O8 O 0.667 0.333 0.403
Np1 Np 0.000 0.000 0.000
Rb1 Rb 0.000 0.000 0.500
I1 I 0.333 0.667 0.826
I2 I 0.667 0.333 0.174
```

Results
* final energy: -70.96 eV/cell
* total magnetic moment: 2.00 μB/f.u.
* SG: No. 164

Record 3
A relaxed Rb2NpI2O2 crystal. Source: Alexandria via LeMat-Bulk, functional GGA-PBE.

CIF file:
```
data_Rb2NpI2O2
_chemical_formula_sum 'Rb2 Np1 I2 O2'
_space_group_name_H-M_alt 'P 1'
_space_group_IT_number 1
_space_group_name_Hall 'P 1'
_cell_length_a 4.529
_cell_length_b 4.529
_cell_length_c 10.514
_cell_angle_alpha 102.44
_cell_angle_beta 102.44
_cell_angle_gamma 90.00
loop_
_atom_site_label
_atom_site_type_symbol
_atom_site_fract_x
_atom_site_fract_y
_atom_site_fract_z
O1 O 0.000 0.500 0.000
O2 O 0.500 0.000 0.000
I1 I 0.837 0.837 0.673
I2 I 0.163 0.163 0.327
Np1 Np 0.000 0.000 0.000
Rb1 Rb 0.395 0.395 0.789
Rb2 Rb 0.605 0.605 0.211
```

Results
* final energy: -40.73 eV/cell
* total magnetic moment: 3.00 μB/f.u.
* SG: No. 139

Record 4
A relaxed RbNpIO6 crystal. Source: Alexandria via LeMat-Bulk, functional GGA-PBE.

CIF file:
```
data_RbNpIO6
_chemical_formula_sum 'Rb1 Np1 I1 O6'
_space_group_name_H-M_alt 'P 1'
_space_group_IT_number 1
_space_group_name_Hall 'P 1'
_cell_length_a 5.989
_cell_length_b 5.916
_cell_length_c 6.115
_cell_angle_alpha 91.40
_cell_angle_beta 91.05
_cell_angle_gamma 59.23
loop_
_atom_site_label
_atom_site_type_symbol
_atom_site_fract_x
_atom_site_fract_y
_atom_site_fract_z
O1 O 0.368 0.033 0.678
O2 O 0.603 0.353 0.684
O3 O 0.935 0.628 0.691
O4 O 0.431 0.648 0.306
O5 O 0.983 0.377 0.316
O6 O 0.623 0.029 0.325
Np1 Np 0.685 0.640 0.494
Rb1 Rb 0.000 0.001 0.999
I1 I 0.372 0.291 0.508
```

Results
* final energy: -60.32 eV/cell
* total magnetic moment: 1.00 μB/f.u.
* SG: No. 1

Record 5
A relaxed NpRhIO6 crystal. Source: Alexandria via LeMat-Bulk, functional GGA-PBE.

CIF file:
```
data_NpRhIO6
_chemical_formula_sum 'Np2 Rh2 I2 O12'
_space_group_name_H-M_alt 'P 1'
_space_group_IT_number 1
_space_group_name_Hall 'P 1'
_cell_length_a 5.533
_cell_length_b 5.533
_cell_length_c 9.742
_cell_angle_alpha 90.00
_cell_angle_beta 90.00
_cell_angle_gamma 120.00
loop_
_atom_site_label
_atom_site_type_symbol
_atom_site_fract_x
_atom_site_fract_y
_atom_site_fract_z
O1 O 0.335 0.168 0.386
O2 O 0.665 0.832 0.614
O3 O 0.167 0.832 0.886
O4 O 0.833 0.168 0.114
O5 O 0.167 0.335 0.614
O6 O 0.335 0.167 0.114
O7 O 0.168 0.833 0.614
O8 O 0.832 0.167 0.386
O9 O 0.168 0.335 0.886
O10 O 0.665 0.833 0.886
O11 O 0.833 0.665 0.386
O12 O 0.832 0.665 0.114
Rh1 Rh 0.000 0.000 0.500
Rh2 Rh 0.000 0.000 0.000
I1 I 0.667 0.333 0.750
I2 I 0.333 0.667 0.250
Np1 Np 0.667 0.333 0.250
Np2 Np 0.333 0.667 0.750
```

Results
* final energy: -123.92 eV/cell
* total magnetic moment: 0.00 μB/f.u.
* SG: No. 194

Record 6
A relaxed NpTl2IO6 crystal. Source: Alexandria via LeMat-Bulk, functional GGA-PBE.

CIF file:
```
data_NpTl2IO6
_chemical_formula_sum 'Np1 Tl2 I1 O6'
_space_group_name_H-M_alt 'P 1'
_space_group_IT_number 1
_space_group_name_Hall 'P 1'
_cell_length_a 5.946
_cell_length_b 5.947
_cell_length_c 6.745
_cell_angle_alpha 63.75
_cell_angle_beta 63.75
_cell_angle_gamma 90.00
loop_
_atom_site_label
_atom_site_type_symbol
_atom_site_fract_x
_atom_site_fract_y
_atom_site_fract_z
O1 O 0.251 0.252 0.999
O2 O 0.181 0.181 0.639
O3 O 0.749 0.748 0.001
O4 O 0.251 0.749 0.000
O5 O 0.819 0.819 0.361
O6 O 0.749 0.251 0.000
Np1 Np 0.000 0.000 0.000
Tl1 Tl 0.250 0.750 0.500
Tl2 Tl 0.750 0.250 0.500
I1 I 0.500 0.500 0.000
```

Results
* final energy: -62.87 eV/cell
* total magnetic moment: 0.16 μB/f.u.
* SG: No. 12

The highest total magnetic moment belongs to which entry?
Rb2NpI2O2